Entry 1:
This record from Alexandria via LeMat-Bulk describes crystalline YSi2B at its relaxed geometry. The functional is PBE-GGA.

The structure in CIF format:
```
data_YSi2B
_chemical_formula_sum 'Y2 Si4 B2'
_space_group_name_H-M_alt 'P 1'
_space_group_IT_number 1
_cell_length_a 6.7365
_cell_length_b 6.7365
_cell_length_c 5.5618
_cell_angle_alpha 52.73
_cell_angle_beta 52.73
_cell_angle_gamma 90.00
loop_
_space_group_symop_operation_xyz
'x,y,z'
loop_
_atom_site_label
_atom_site_type_symbol
_atom_site_fract_x
_atom_site_fract_y
_atom_site_fract_z
Y1 Y 0.0000 0.0000 0.0000
Y2 Y 0.7500 0.2500 0.5000
Si1 Si 0.5313 0.1250 0.2500
Si2 Si 0.2187 0.6250 0.2500
Si3 Si 0.3750 0.4687 0.7500
Si4 Si 0.8750 0.7813 0.7500
B1 B 0.5000 0.5000 0.0000
B2 B 0.2500 0.7500 0.5000
```

* D(E_F): 0.94 states/eV per cell
* SG: I-42d, No. 122
* energy relative to the elements, uncorrected: -0.5 eV per formula unit

=====

Entry 2:
This record from Alexandria via LeMat-Bulk describes crystalline YSi3B at its relaxed geometry. The functional is PBE-GGA.

The structure in CIF format:
```
data_YSi3B
_chemical_formula_sum 'Y1 Si3 B1'
_space_group_name_H-M_alt 'P 1'
_space_group_IT_number 1
_cell_length_a 4.3378
_cell_length_b 4.3378
_cell_length_c 4.3378
_cell_angle_alpha 90.00
_cell_angle_beta 90.00
_cell_angle_gamma 90.00
loop_
_space_group_symop_operation_xyz
'x,y,z'
loop_
_atom_site_label
_atom_site_type_symbol
_atom_site_fract_x
_atom_site_fract_y
_atom_site_fract_z
Y1 Y 0.5000 0.5000 0.5000
Si1 Si 0.0000 0.5000 0.0000
Si2 Si 0.0000 0.0000 0.5000
Si3 Si 0.5000 0.0000 0.0000
B1 B 0.0000 0.0000 0.0000
```

* D(E_F): 2.88 states/eV per cell
* SG: Pm-3m, No. 221
* energy relative to the lowest polymorph listed for this composition: 0.000 eV/atom
* energy relative to the elements, uncorrected: 1.6 eV per formula unit

=====

Entry 3:
This record from Alexandria via LeMat-Bulk describes crystalline YSiB2 at its relaxed geometry. The functional is PBE-GGA.

The structure in CIF format:
```
data_YSiB2
_chemical_formula_sum 'Y2 Si2 B4'
_space_group_name_H-M_alt 'P 1'
_space_group_IT_number 1
_cell_length_a 4.1540
_cell_length_b 4.1540
_cell_length_c 7.2857
_cell_angle_alpha 73.44
_cell_angle_beta 73.44
_cell_angle_gamma 90.00
loop_
_space_group_symop_operation_xyz
'x,y,z'
loop_
_atom_site_label
_atom_site_type_symbol
_atom_site_fract_x
_atom_site_fract_y
_atom_site_fract_z
Y1 Y 0.0000 0.0000 0.0000
Y2 Y 0.7500 0.2500 0.5000
Si1 Si 0.5000 0.5000 0.0000
Si2 Si 0.2500 0.7500 0.5000
B1 B 0.3751 0.1250 0.2500
B2 B 0.3749 0.6250 0.2500
B3 B 0.3750 0.6249 0.7500
B4 B 0.8750 0.6251 0.7500
```

* D(E_F): 3.82 states/eV per cell
* SG: I4_1/amd, No. 141
* energy relative to the elements, uncorrected: 0.2 eV per formula unit

=====

Entry 4:
This record from Alexandria via LeMat-Bulk describes crystalline Zn3SiB at its relaxed geometry. The functional is PBE-GGA.

The structure in CIF format:
```
data_Zn3SiB
_chemical_formula_sum 'Zn3 Si1 B1'
_space_group_name_H-M_alt 'P 1'
_space_group_IT_number 1
_cell_length_a 4.6804
_cell_length_b 4.6804
_cell_length_c 4.6804
_cell_angle_alpha 90.00
_cell_angle_beta 90.00
_cell_angle_gamma 90.00
loop_
_space_group_symop_operation_xyz
'x,y,z'
loop_
_atom_site_label
_atom_site_type_symbol
_atom_site_fract_x
_atom_site_fract_y
_atom_site_fract_z
Zn1 Zn 0.0000 0.5000 0.0000
Zn2 Zn 0.0000 0.0000 0.5000
Zn3 Zn 0.5000 0.0000 0.0000
B1 B 0.5000 0.5000 0.5000
Si1 Si 0.0000 0.0000 0.0000
```

* D(E_F): 2.65 states/eV per cell
* SG: Pm-3m, No. 221
* energy relative to the lowest polymorph listed for this composition: 0.687 eV/atom
* energy relative to the elements, uncorrected: 6.3 eV per formula unit